{
  "formula": "Ba2SrCr2O6",
  "functional": "PBE+U",
  "state": "optimized geometry",
  "cell": [[3.0803, 1.7784, 6.4006], [-3.0803, 1.7784, 6.4006], [0.0000, -3.5568, 6.4006]],
  "species": ["Ba", "Ba", "Sr", "Cr", "Cr", "O", "O", "O", "O", "O", "O"],
  "fractional_positions": [[0.2018, 0.2018, 0.2018], [0.7982, 0.7982, 0.7982], [0.0000, 0.0000, 0.0000], [0.4196, 0.4196, 0.4196], [0.5804, 0.5804, 0.5804], [0.2360, 0.7424, 0.7424], [0.2576, 0.2576, 0.7640], [0.2576, 0.7640, 0.2576], [0.7424, 0.2360, 0.7424], [0.7424, 0.7424, 0.2360], [0.7640, 0.2576, 0.2576]],
  "sg": "R-3m (166)",
  "energy_ev_per_atom": -6.724,
  "magnetic_moment_mub_per_fu": 6.00
}